Record 1
## PmCd2 (PBE-GGA)

Data for PmCd2 after structural relaxation.

Formation energy ... -34.4 kJ/mol of atoms
SG ... No. 12

Cell lengths 5.0483, 5.0483, 3.4280 Å; angles 90.28, 90.28, 59.97 degrees
Closest atoms and distances in Å follow each position.
Element x y z (fractional)
Cd  0.3334  0.3334  0.4994  3 Cd 2.91
Cd  0.6666  0.6666  0.5006  3 Cd 2.91
Pm  0.0000  0.0000  0.0000  12 Cd 3.37-3.39, 2 Pm 3.43

Record 2
## Pm2Cd (PBE-GGA)

Data for Pm2Cd after structural relaxation.

Formation energy ... 23.7 kJ/mol of atoms
SG ... No. 227

Cell lengths 6.3808, 6.3808, 6.3808 Å; angles 60.00, 60.00, 60.00 degrees
Closest atoms and distances in Å follow each position.
Element x y z (fractional)
Cd  0.0000  0.0000  0.0000  12 Pm 3.74, 4 Cd 3.91
Cd  0.2500  0.2500  0.2500  12 Pm 3.74, 4 Cd 3.91
Pm  0.6250  0.6250  0.1250  6 Pm 3.19
Pm  0.6250  0.1250  0.6250  6 Pm 3.19
Pm  0.1250  0.6250  0.6250  6 Pm 3.19
Pm  0.6250  0.6250  0.6250  6 Pm 3.19